# 1
VASP calculation (GGA-PBE) on a relaxed Al3TlSb crystal.

Output
ΔE to the lowest computed polymorph ... 0.0 meV per atom
Energy relative to the elements, uncorrected ... 0.751 eV/atom

```
data_Al3TlSb
_chemical_formula_sum 'Al3 Tl1 Sb1'
_symmetry_space_group_name_H-M 'P m -3 m'
_symmetry_Int_Tables_number 221
_symmetry_space_group_name_Hall '-P 4 2 3'
_cell_length_a 5.3869
_cell_length_b 5.3869
_cell_length_c 5.3869
_cell_angle_alpha 90.00
_cell_angle_beta 90.00
_cell_angle_gamma 90.00
loop_
_atom_site_label
_atom_site_type_symbol
_atom_site_fract_x
_atom_site_fract_y
_atom_site_fract_z
Al1 Al 0.0000 0.0000 0.5000
Tl1 Tl 0.5000 0.5000 0.5000
Sb1 Sb 0.0000 0.0000 0.0000
```

# 2
VASP calculation (GGA-PBE) on a relaxed CeMgNiOs crystal.

Output
DFT formation energy ... -78 meV per atom

```
data_CeMgNiOs
_chemical_formula_sum 'Ce4 Mg4 Ni4 Os4'
_symmetry_space_group_name_H-M 'F -4 3 m'
_symmetry_Int_Tables_number 216
_symmetry_space_group_name_Hall 'F -4 2 3'
_cell_length_a 6.5681
_cell_length_b 6.5681
_cell_length_c 6.5681
_cell_angle_alpha 90.00
_cell_angle_beta 90.00
_cell_angle_gamma 90.00
loop_
_atom_site_label
_atom_site_type_symbol
_atom_site_fract_x
_atom_site_fract_y
_atom_site_fract_z
Ce1 Ce 0.0000 0.0000 0.0000
Mg1 Mg 0.0000 0.0000 0.5000
Ni1 Ni 0.2500 0.2500 0.2500
Os1 Os 0.2500 0.2500 0.7500
```

# 3
VASP calculation (GGA-PBE) on a relaxed YMnCd4 crystal.

Output
DFT formation energy ... 68 meV per atom

```
data_YMnCd4
_chemical_formula_sum 'Y4 Mn4 Cd16'
_symmetry_space_group_name_H-M 'F -4 3 m'
_symmetry_Int_Tables_number 216
_symmetry_space_group_name_Hall 'F -4 2 3'
_cell_length_a 8.1405
_cell_length_b 8.1405
_cell_length_c 8.1405
_cell_angle_alpha 90.00
_cell_angle_beta 90.00
_cell_angle_gamma 90.00
loop_
_atom_site_label
_atom_site_type_symbol
_atom_site_fract_x
_atom_site_fract_y
_atom_site_fract_z
Y1 Y 0.0000 0.0000 0.0000
Mn1 Mn 0.2500 0.2500 0.2500
Cd1 Cd 0.1248 0.1248 0.6248
```

# 4
VASP calculation (GGA-PBE) on a relaxed Al4ZnMo crystal.

Output
ΔE to the lowest computed polymorph ... 0.0 meV per atom
DFT formation energy ... -111 meV per atom

```
data_Al4ZnMo
_chemical_formula_sum 'Al16 Zn4 Mo4'
_symmetry_space_group_name_H-M 'C 1 2/c 1'
_symmetry_Int_Tables_number 15
_cell_length_a 8.5091
_cell_length_b 4.8054
_cell_length_c 9.3930
_cell_angle_alpha 90.00
_cell_angle_beta 105.22
_cell_angle_gamma 90.00
loop_
_symmetry_equiv_pos_as_xyz
'x,y,z'
'-x,-y,-z'
'-x,y,-z+1/2'
'x,-y,z+1/2'
'x+1/2,y+1/2,z'
'-x+1/2,-y+1/2,-z'
'-x+1/2,y+1/2,-z+1/2'
'x+1/2,-y+1/2,z+1/2'
loop_
_atom_site_label
_atom_site_type_symbol
_atom_site_fract_x
_atom_site_fract_y
_atom_site_fract_z
Al1 Al 0.0787 0.2402 0.4992
Al2 Al 0.1669 0.4242 0.2492
Zn1 Zn 0.2500 0.2500 0.0000
Mo1 Mo 0.0000 0.0741 0.7500
```

Number 1: DOS at the Fermi energy 3.6 states/eV/cell. Number 2: DOS at the Fermi energy 8.4 states/eV/cell. Number 3: DOS at the Fermi energy 23.5 states/eV/cell. Number 4: DOS at the Fermi energy 12.1 states/eV/cell.